[1]
This record from Alexandria via LeMat-Bulk describes a geometry-optimized CaSi2Pb structure. The functional is GGA-PBE.

Cell lengths 7.880, 7.880, 6.425 Å; angles 52.18, 52.18, 90.00 degrees
Element x y z (fractional)
Pb 0.000 0.000 0.000
Pb 0.750 0.250 0.500
Ca 0.500 0.500 0.000
Ca 0.250 0.750 0.500
Si 0.653 0.125 0.250
Si 0.097 0.625 0.250
Si 0.375 0.347 0.750
Si 0.875 0.903 0.750

Results
The calculation puts the total energy at -3.93 eV/atom. Its density of states at the Fermi level is 0.30 states/eV/cell. Its formation energy without anion corrections is 21 kJ per mole of atoms.

[2]
This record from Alexandria via LeMat-Bulk describes a geometry-optimized Pm2Hg3Pb2 structure. The functional is GGA-PBE.

Cell lengths 8.096, 8.096, 8.096 Å; angles 109.47, 109.47, 109.47 degrees
Element x y z (fractional)
Pm 0.000 0.000 0.474
Pm 0.500 0.474 0.500
Pm 0.526 0.026 0.026
Pm 0.974 0.500 0.000
Hg 0.732 0.750 0.982
Hg 0.768 0.250 0.518
Hg 0.018 0.268 0.250
Hg 0.482 0.232 0.750
Hg 0.250 0.982 0.232
Hg 0.750 0.518 0.268
Pb 0.000 0.000 0.869
Pb 0.500 0.869 0.500
Pb 0.131 0.631 0.631
Pb 0.369 0.500 0.000

Results
The value obtained for the energy relative to the elements is -192 meV/atom. The calculation puts the total energy at -2.74 eV/atom. Its density of states at the Fermi level is 12.13 states/eV/cell.

[3]
This record from Alexandria via LeMat-Bulk describes a geometry-optimized LaMg2CuN structure. The functional is GGA-PBE.

Cell lengths 5.460, 3.630, 5.460 Å; angles 90.00, 90.00, 90.00 degrees
Element x y z (fractional)
Mg 0.000 0.000 0.500
Mg 0.500 0.000 0.000
N 0.000 0.500 0.000
Cu 0.000 0.000 0.000
La 0.500 0.500 0.500

Results
The calculation puts the total energy at -3.60 eV/atom. Its density of states at the Fermi level is 5.54 states/eV/cell. Its formation energy without anion corrections is 49 kJ per mole of atoms.

[4]
This record from Alexandria via LeMat-Bulk describes a geometry-optimized TbHfGa structure. The functional is GGA-PBE.

Cell lengths 4.241, 4.241, 8.452 Å; angles 104.53, 104.53, 89.97 degrees
Element x y z (fractional)
Ga 0.874 0.874 0.746
Ga 0.126 0.126 0.254
Tb 0.325 0.325 0.648
Tb 0.675 0.675 0.352
Hf 0.500 0.000 0.000
Hf 0.000 0.500 0.000

Results
The value obtained for the energy relative to the elements is -390 meV/atom. Its energy relative to the lowest polymorph listed for this composition is 0 meV per atom. The calculation puts the total energy at -6.26 eV/atom. Its density of states at the Fermi level is 6.91 states/eV/cell.

[5]
This record from Alexandria via LeMat-Bulk describes a geometry-optimized BeTlN2O structure. The functional is GGA-PBE.

Cell lengths 3.288, 3.288, 5.559 Å; angles 90.00, 90.00, 90.00 degrees
Each line ends with the local moment (μB).
Element x y z (fractional)
Be 0.000 0.000 0.000  -0.01
Tl 0.500 0.500 0.500  0.00
O 0.000 0.000 0.500  0.00
N 0.000 0.500 0.000  0.10
N 0.500 0.000 0.000  0.10

Results
The calculation puts the total energy at -4.81 eV/atom. Its density of states at the Fermi level is 1.05 states/eV/cell. Its formation energy without anion corrections is 71 kJ per mole of atoms.

[6]
This record from Alexandria via LeMat-Bulk describes a geometry-optimized HfIn2Hg structure. The functional is GGA-PBE.

Cell lengths 7.988, 7.988, 6.419 Å; angles 51.52, 51.52, 90.00 degrees
Element x y z (fractional)
Hf 0.500 0.500 0.000
Hf 0.250 0.750 0.500
Hg 0.000 0.000 0.000
Hg 0.750 0.250 0.500
In 0.639 0.125 0.250
In 0.111 0.625 0.250
In 0.375 0.361 0.750
In 0.875 0.889 0.750

Results
The value obtained for the energy relative to the elements is 230 meV/atom. The calculation puts the total energy at -3.70 eV/atom. Its density of states at the Fermi level is 3.34 states/eV/cell.

[7]
This record from Alexandria via LeMat-Bulk describes a geometry-optimized K2CdAg structure. The functional is GGA-PBE.

Cell lengths 9.850, 9.850, 9.850 Å; angles 27.05, 27.05, 27.05 degrees
Element x y z (fractional)
Ag 0.250 0.250 0.250
Cd 0.750 0.750 0.750
K 0.992 0.992 0.992
K 0.508 0.508 0.508

Results
The value obtained for the energy relative to the elements is 135 meV/atom. Its energy relative to the lowest polymorph listed for this composition is 177 meV per atom. The calculation puts the total energy at -1.35 eV/atom. Its density of states at the Fermi level is 2.87 states/eV/cell.

[8]
This record from Alexandria via LeMat-Bulk describes a geometry-optimized Nd2PH structure. The functional is GGA-PBE.

Cell lengths 4.030, 4.025, 6.616 Å; angles 107.49, 90.00, 120.05 degrees
Element x y z (fractional)
Nd 0.251 0.503 0.258
Nd 0.749 0.497 0.742
P 0.500 0.000 0.000
H 0.000 0.000 0.500

Results
Its energy relative to the lowest polymorph listed for this composition is 0 meV per atom. The calculation puts the total energy at -5.52 eV/atom. Its density of states at the Fermi level is 1.30 states/eV/cell.

[9]
This record from Alexandria via LeMat-Bulk describes a geometry-optimized DyEr2Br structure. The functional is GGA-PBE.

Cell lengths 3.617, 3.617, 10.352 Å; angles 79.94, 79.94, 60.00 degrees
Element x y z (fractional)
Dy 0.500 0.500 0.500
Br 0.000 0.000 0.000
Er 0.743 0.743 0.771
Er 0.257 0.257 0.229

Results
The calculation puts the total energy at -4.35 eV/atom. Its density of states at the Fermi level is 4.32 states/eV/cell. Its formation energy without anion corrections is -48 kJ per mole of atoms.